1.
A plane-wave DFT calculation with PBE-GGA was carried out for a geometry-optimized Zn8Pt2Au3 structure.

Total moment, Bohr magnetons per cell: 0.00
Raw total energy, eV for the cell shown: -33.8
Density, g cm⁻³: 11.8
Energy of formation, meV/atom: -133.9
DOS at the Fermi energy, states/eV per atom: 0.357
SG: R-3m, No. 166

Unit cell a=9.9778 b=9.9778 c=9.9778 alpha=29.35 beta=29.35 gamma=29.35
With the nearest neighbours (Å) after each atom.
Positions (direct):
1 Zn 0.2211 0.2211 0.2211  1 Pt 2.45, 1 Au 2.67
2 Zn 0.2305 0.2305 0.7256  4 Zn 2.50-2.55, 1 Pt 2.56, 1 Au 2.74
3 Zn 0.2305 0.7256 0.2305  4 Zn 2.50-2.55, 1 Pt 2.56, 1 Au 2.74
4 Zn 0.2744 0.7695 0.7695  4 Zn 2.50-2.55, 1 Pt 2.56, 1 Au 2.74
5 Zn 0.7256 0.2305 0.2305  4 Zn 2.50-2.55, 1 Pt 2.56, 1 Au 2.74
6 Zn 0.7695 0.2744 0.7695  4 Zn 2.50-2.55, 1 Pt 2.56, 1 Au 2.74
7 Zn 0.7695 0.7695 0.2744  4 Zn 2.50-2.55, 1 Pt 2.56, 1 Au 2.74
8 Zn 0.7789 0.7789 0.7789  1 Pt 2.45, 1 Au 2.67
9 Pt 0.1354 0.1354 0.1354  4 Zn 2.45-2.56
10 Pt 0.8646 0.8646 0.8646  4 Zn 2.45-2.56
11 Au 0.3143 0.3143 0.3143  10 Zn 2.67-2.81
12 Au 0.5000 0.5000 0.5000  6 Pt 3.05, 12 Zn 3.31-3.32
13 Au 0.6857 0.6857 0.6857  10 Zn 2.67-2.81

2.
A plane-wave DFT calculation with PBE-GGA was carried out for a geometry-optimized Sm7Tl2Hg2 structure.

Total moment, Bohr magnetons per cell: 0.00
Raw total energy, eV for the cell shown: -39.1
Density, g cm⁻³: 8.6
Energy of formation, meV/atom: -64.3
DOS at the Fermi energy, states/eV per atom: 1.238
SG: Cmmm, No. 65

Unit cell a=6.9203 b=6.9203 c=8.0248 alpha=90.00 beta=90.00 gamma=110.02
With the nearest neighbours (Å) after each atom.
Positions (direct):
1 Sm 0.0000 0.0000 0.0000  2 Hg 3.23
2 Sm 0.0000 0.5000 0.2858  2 Hg 3.06, 2 Tl 3.36
3 Sm 0.0000 0.5000 0.7142  2 Hg 3.06, 2 Tl 3.36
4 Sm 0.5000 0.0000 0.2858  2 Hg 3.06, 2 Tl 3.36
5 Sm 0.5000 0.0000 0.7142  2 Hg 3.06, 2 Tl 3.36
6 Sm 0.5000 0.5000 0.2494  2 Hg 3.15, 2 Tl 3.21, 4 Sm 3.47
7 Sm 0.5000 0.5000 0.7506  2 Hg 3.15, 2 Tl 3.21, 4 Sm 3.47
8 Tl 0.1843 0.1843 0.5000  1 Tl 2.92, 2 Sm 3.21
9 Tl 0.8157 0.8157 0.5000  1 Tl 2.92, 2 Sm 3.21
10 Hg 0.2850 0.7150 0.0000  7 Sm 3.06-3.23
11 Hg 0.7150 0.2850 0.0000  7 Sm 3.06-3.23

3.
A plane-wave DFT calculation with PBE-GGA was carried out for a geometry-optimized LiTcSF2 structure.

Total moment, Bohr magnetons per cell: 0.97
Raw total energy, eV for the cell shown: -26.3
Density, g cm⁻³: 3.7
DOS at the Fermi energy, states/eV per atom: 0.620
SG: P4/mmm, No. 123
Formation energy without anion corrections, eV per atom: -1.226

Unit cell a=4.1325 b=4.1325 c=4.6190 alpha=90.00 beta=90.00 gamma=90.00
With the nearest neighbours (Å) after each atom.
Positions (direct):
1 Li 0.0000 0.0000 0.0000  4 S 2.92, 8 F 3.10
2 Tc 0.5000 0.5000 0.5000  4 F 2.07, 2 S 2.31
3 S 0.5000 0.5000 0.0000  2 Tc 2.31
4 F 0.0000 0.5000 0.5000  2 Tc 2.07
5 F 0.5000 0.0000 0.5000  2 Tc 2.07

4.
A plane-wave DFT calculation with PBE-GGA was carried out for a geometry-optimized Zr2ScCu structure.

Total moment, Bohr magnetons per cell: 0.00
Raw total energy, eV for the cell shown: -27.7
Density, g cm⁻³: 5.9
Excess energy over the best structure of this formula in the dataset, meV per atom: 77
Energy of formation, meV/atom: -37.8
DOS at the Fermi energy, states/eV per atom: 1.308
SG: P4/mmm, No. 123

Unit cell a=3.1759 b=3.1759 c=8.1184 alpha=90.00 beta=90.00 gamma=90.00
With the nearest neighbours (Å) after each atom.
Positions (direct):
1 Zr 0.0000 0.0000 0.2194  4 Cu 2.87, 4 Zr 3.18, 4 Sc 3.20
2 Zr 0.0000 0.0000 0.7806  4 Cu 2.87, 4 Zr 3.18, 4 Sc 3.20
3 Sc 0.5000 0.5000 0.5000  4 Sc 3.18, 8 Zr 3.20
4 Cu 0.5000 0.5000 0.0000  8 Zr 2.87, 4 Cu 3.18

5.
A plane-wave DFT calculation with PBE-GGA was carried out for a geometry-optimized Ca2PrSmSe4 structure.

Total moment, Bohr magnetons per cell: 0.00
Raw total energy, eV for the cell shown: -42.7
Density, g cm⁻³: 5.4
DOS at the Fermi energy, states/eV per atom: 0.418
SG: P2/m, No. 10
Formation energy without anion corrections, eV per atom: -1.902

Unit cell a=7.2345 b=4.1788 c=7.3902 alpha=90.00 beta=109.06 gamma=90.00
With the nearest neighbours (Å) after each atom.
Positions (direct):
1 Ca 0.0000 0.0000 0.0000  6 Se 2.97
2 Ca 0.5000 0.5000 0.0000  6 Se 2.94
3 Pr 0.0000 0.5000 0.5000  6 Se 3.02
4 Sm 0.5000 0.0000 0.5000  6 Se 2.99
5 Se 0.2520 0.5000 0.2456  3 Ca 2.94-2.97, 2 Sm 2.99, 1 Pr 3.02
6 Se 0.2563 0.0000 0.7573  3 Ca 2.94-2.97, 1 Sm 2.99, 2 Pr 3.02
7 Se 0.7437 0.0000 0.2427  3 Ca 2.94-2.97, 1 Sm 2.99, 2 Pr 3.02
8 Se 0.7480 0.5000 0.7544  3 Ca 2.94-2.97, 2 Sm 2.99, 1 Pr 3.02

6.
A plane-wave DFT calculation with PBE-GGA was carried out for a geometry-optimized LaTb7Nd3 structure.

Total moment, Bohr magnetons per cell: 0.00
Raw total energy, eV for the cell shown: -49.7
Density, g cm⁻³: 7.2
Excess energy over the best structure of this formula in the dataset, meV per atom: 45
Energy of formation, meV/atom: 180.2
DOS at the Fermi energy, states/eV per atom: 1.600
SG: P3m1, No. 156

Unit cell a=7.1372 b=7.1372 c=8.7789 alpha=90.00 beta=90.00 gamma=120.00
With the nearest neighbours (Å) after each atom.
Positions (direct):
1 La 0.0000 0.0000 0.0000  9 Tb 3.52-3.57, 3 Nd 3.63
2 Tb 0.0019 0.5009 0.9982  7 Tb 3.50-3.59, 2 La 3.57, 2 Nd 3.61
3 Tb 0.3325 0.1662 0.3258  1 La 3.52, 8 Tb 3.54-3.58, 2 Nd 3.58
4 Tb 0.3333 0.6667 0.3217  9 Tb 3.50-3.57, 3 Nd 3.61
5 Tb 0.4991 0.5009 0.9982  7 Tb 3.50-3.59, 2 La 3.57, 2 Nd 3.61
6 Tb 0.4991 0.9981 0.9982  7 Tb 3.50-3.59, 2 La 3.57, 2 Nd 3.61
7 Tb 0.8338 0.1662 0.3258  1 La 3.52, 8 Tb 3.54-3.58, 2 Nd 3.58
8 Tb 0.8338 0.6675 0.3258  1 La 3.52, 8 Tb 3.54-3.58, 2 Nd 3.58
9 Nd 0.1671 0.3342 0.6594  4 Nd 3.56-3.58, 5 Tb 3.58-3.61, 1 La 3.63
10 Nd 0.1671 0.8329 0.6594  4 Nd 3.56-3.58, 5 Tb 3.58-3.61, 1 La 3.63
11 Nd 0.6658 0.8329 0.6594  4 Nd 3.56-3.58, 5 Tb 3.58-3.61, 1 La 3.63

7.
A plane-wave DFT calculation with PBE-GGA was carried out for a geometry-optimized Na3HfRh3O8 structure.

Total moment, Bohr magnetons per cell: 0.00
Raw total energy, eV for the cell shown: -98.5
Density, g cm⁻³: 6.2
SG: R-3m, No. 166
Formation energy without anion corrections, eV per atom: -1.528

Unit cell a=6.6059 b=6.6059 c=6.6059 alpha=55.95 beta=55.95 gamma=55.95
With the nearest neighbours (Å) after each atom.
Positions (direct):
1 Na 0.0000 0.5000 0.5000  6 O 2.43-2.48
2 Na 0.5000 0.0000 0.5000  6 O 2.43-2.48
3 Na 0.5000 0.5000 0.0000  6 O 2.43-2.48
4 Hf 0.5000 0.5000 0.5000  6 O 2.10
5 Rh 0.0000 0.0000 0.5000  6 O 2.08-2.12
6 Rh 0.0000 0.5000 0.0000  6 O 2.08-2.12
7 Rh 0.5000 0.0000 0.0000  6 O 2.08-2.12
8 O 0.2305 0.2305 0.2305  3 Rh 2.08
9 O 0.2372 0.7328 0.7328  1 Hf 2.10, 2 Rh 2.12
10 O 0.2672 0.2672 0.7628  1 Hf 2.10, 2 Rh 2.12
11 O 0.2672 0.7628 0.2672  1 Hf 2.10, 2 Rh 2.12
12 O 0.7328 0.2372 0.7328  1 Hf 2.10, 2 Rh 2.12
13 O 0.7328 0.7328 0.2372  1 Hf 2.10, 2 Rh 2.12
14 O 0.7628 0.2672 0.2672  1 Hf 2.10, 2 Rh 2.12
15 O 0.7695 0.7695 0.7695  3 Rh 2.08

8.
A plane-wave DFT calculation with PBE-GGA was carried out for a geometry-optimized SrCuNi2C structure.

Total moment, Bohr magnetons per cell: 2.86
Raw total energy, eV for the cell shown: -18.4
Density, g cm⁻³: 4.5
Energy of formation, meV/atom: 1638.4
DOS at the Fermi energy, states/eV per atom: 0.942
SG: P4/mmm, No. 123

Unit cell a=4.3193 b=4.3193 c=5.5764 alpha=90.00 beta=90.00 gamma=90.00
With the nearest neighbours (Å) after each atom.
Positions (direct):
1 Sr 0.0000 0.0000 0.0000  2 Cu 2.79, 4 C 3.05
2 Cu 0.0000 0.0000 0.5000  4 Ni 2.16
3 Ni 0.0000 0.5000 0.5000  2 Cu 2.16
4 Ni 0.5000 0.0000 0.5000  2 Cu 2.16
5 C 0.5000 0.5000 0.0000  4 Sr 3.05

9.
A plane-wave DFT calculation with PBE-GGA was carried out for a geometry-optimized Ta2GaNi3 structure.

Total moment, Bohr magnetons per cell: 0.00
Raw total energy, eV for the cell shown: -91.9
Density, g cm⁻³: 12.4
Energy of formation, meV/atom: -310.5
DOS at the Fermi energy, states/eV per atom: 1.209
SG: P6_3/mmc, No. 194

Unit cell a=4.9121 b=4.9121 c=7.7663 alpha=90.00 beta=90.00 gamma=120.00
With the nearest neighbours (Å) after each atom.
Positions (direct):
1 Ta 0.3333 0.6667 0.0566  9 Ni 2.75-2.88, 3 Ga 2.87, 4 Ta 2.97-3.00
2 Ta 0.3333 0.6667 0.4434  9 Ni 2.75-2.88, 3 Ga 2.87, 4 Ta 2.97-3.00
3 Ta 0.6667 0.3333 0.5566  9 Ni 2.75-2.88, 3 Ga 2.87, 4 Ta 2.97-3.00
4 Ta 0.6667 0.3333 0.9434  9 Ni 2.75-2.88, 3 Ga 2.87, 4 Ta 2.97-3.00
5 Ga 0.0000 0.0000 0.0000  6 Ni 2.43
6 Ga 0.0000 0.0000 0.5000  6 Ni 2.43
7 Ni 0.1718 0.3437 0.7500  4 Ni 2.38-2.53, 2 Ga 2.43
8 Ni 0.1718 0.8282 0.7500  4 Ni 2.38-2.53, 2 Ga 2.43
9 Ni 0.3437 0.1718 0.2500  4 Ni 2.38-2.53, 2 Ga 2.43
10 Ni 0.6563 0.8282 0.7500  4 Ni 2.38-2.53, 2 Ga 2.43
11 Ni 0.8282 0.1718 0.2500  4 Ni 2.38-2.53, 2 Ga 2.43
12 Ni 0.8282 0.6563 0.2500  4 Ni 2.38-2.53, 2 Ga 2.43

10.
A plane-wave DFT calculation with PBE-GGA was carried out for a geometry-optimized NpTl3Cd2Se6 structure.

Total moment, Bohr magnetons per cell: 1.99
Raw total energy, eV for the cell shown: -50.0
Density, g cm⁻³: 7.6
DOS at the Fermi energy, states/eV per atom: 0.649
SG: C2/m, No. 12
Formation energy without anion corrections, eV per atom: -0.604

Unit cell a=7.1100 b=7.1100 c=8.0736 alpha=98.24 beta=98.24 gamma=120.23
With the nearest neighbours (Å) after each atom.
Positions (direct):
1 Np 0.0000 0.0000 0.0000  6 Se 2.79-2.80
2 Tl 0.1679 0.8321 0.5000  6 Se 3.24-3.34
3 Tl 0.5000 0.5000 0.5000  6 Se 3.26-3.30
4 Tl 0.8321 0.1679 0.5000  6 Se 3.24-3.34
5 Cd 0.3342 0.6658 0.0000  6 Se 2.86-2.91
6 Cd 0.6658 0.3342 0.0000  6 Se 2.86-2.91
7 Se 0.0699 0.3915 0.2051  1 Np 2.79, 2 Cd 2.86-2.90
8 Se 0.2510 0.2510 0.7887  1 Np 2.80, 2 Cd 2.91
9 Se 0.3915 0.0699 0.2051  1 Np 2.79, 2 Cd 2.86-2.90
10 Se 0.6085 0.9301 0.7949  1 Np 2.79, 2 Cd 2.86-2.90
11 Se 0.7490 0.7490 0.2113  1 Np 2.80, 2 Cd 2.91
12 Se 0.9301 0.6085 0.7949  1 Np 2.79, 2 Cd 2.86-2.90

11.
A plane-wave DFT calculation with PBE-GGA was carried out for a geometry-optimized Be4AlIr5 structure.

Total moment, Bohr magnetons per cell: 0.00
Raw total energy, eV for the cell shown: -69.2
Density, g cm⁻³: 14.6
Energy of formation, meV/atom: -626.8
DOS at the Fermi energy, states/eV per atom: 0.668
SG: P4/mmm, No. 123

Unit cell a=2.8550 b=2.8550 c=14.2442 alpha=90.00 beta=90.00 gamma=90.00
With the nearest neighbours (Å) after each atom.
Positions (direct):
1 Be 0.0000 0.0000 0.0967  8 Ir 2.44-2.45
2 Be 0.0000 0.0000 0.2903  8 Ir 2.44-2.46
3 Be 0.0000 0.0000 0.7097  8 Ir 2.44-2.46
4 Be 0.0000 0.0000 0.9033  8 Ir 2.44-2.45
5 Al 0.0000 0.0000 0.5000  8 Ir 2.56, 4 Al 2.85
6 Ir 0.5000 0.5000 0.0000  8 Be 2.44
7 Ir 0.5000 0.5000 0.1943  8 Be 2.44-2.45
8 Ir 0.5000 0.5000 0.3893  4 Be 2.46, 4 Al 2.56
9 Ir 0.5000 0.5000 0.6107  4 Be 2.46, 4 Al 2.56
10 Ir 0.5000 0.5000 0.8057  8 Be 2.44-2.45

12.
A plane-wave DFT calculation with PBE-GGA was carried out for a geometry-optimized K2ZnSnPb structure.

Total moment, Bohr magnetons per cell: 0.00
Raw total energy, eV for the cell shown: -10.1
Density, g cm⁻³: 2.9
Energy of formation, meV/atom: 222.2
DOS at the Fermi energy, states/eV per atom: 0.562
SG: P4/mmm, No. 123

Unit cell a=6.9025 b=6.9025 c=5.6412 alpha=90.00 beta=90.00 gamma=90.00
With the nearest neighbours (Å) after each atom.
Positions (direct):
1 K 0.0000 0.5000 0.0000  2 Pb 3.45
2 K 0.5000 0.0000 0.0000  2 Pb 3.45
3 Zn 0.0000 0.0000 0.5000  8 K 4.46, 4 Sn 4.88
4 Sn 0.5000 0.5000 0.5000  2 Pb 2.82
5 Pb 0.5000 0.5000 0.0000  2 Sn 2.82